Mg2NiIr | PBE | optimized geometry

POSCAR file:
```
Mg2NiIr
1.0
2.929 0.000 0.000
0.000 2.929 0.000
0.000 0.000 7.584
Mg Ni Ir
2 1 1
direct
0.000 0.000 0.000 Mg
0.500 0.500 0.345 Mg
0.000 0.000 0.567 Ni
0.500 0.500 0.763 Ir
```

Output
**DOS at the Fermi energy**: 1.222 states/eV per atom
**Spin magnetization**: 0.69 μB/f.u.
**E**: -0.1665 Ha/atom
**ρ**: 7.65 g cm⁻³